Below is a relaxed CrGeI2F crystal, with properties calculated at the PBE with a Hubbard U level.

Values from the calculation:
Space-group type: No. 123
Density of states at the Fermi level in states/eV per cell: 2.91
Size of the total moment in μB per atom: 0.864
V in Å³ per atom: 26.43
Total energy in eV per formula unit: -20.34

Cell: 5.795 3.936 5.795 Å, 90.00 90.00 90.00°
Site moments in Bohr magnetons follow the coordinates.
Positions (direct):
I 0.000 0.000 0.500  0.01
I 0.500 0.000 0.000  -0.03
F 0.000 0.500 0.000  0.01
Cr 0.000 0.000 0.000  3.83
Ge 0.500 0.500 0.500  0.11